No. 1
The following is a DFT calculation (PBE-GGA) of a relaxed structure of Pm3Y2Ho8.

## Properties
space-group type = C2/m (12)
density = 7.37 g/cm³
offset from the most stable computed form = 0.0134 eV/atom
DOS(E_F) = 1.76 states/eV per atom
formation energy from the elements = 0.25 eV per atom

Unit cell a=10.7747 b=10.7747 c=5.6255 alpha=90.04 beta=90.04 gamma=41.79
Last column: nearest neighbours and their distance in Å.
Positions (direct):
Pm 0.0000 0.0000 0.0000  4 Ho 3.12
Pm 0.2911 0.7089 0.5000  3 Pm 3.21-3.59, 6 Ho 3.50-3.56
Pm 0.7089 0.2911 0.5000  3 Pm 3.21-3.59, 6 Ho 3.50-3.56
Y 0.2412 0.2412 0.9988  8 Ho 3.34-3.55
Y 0.7588 0.7588 0.0012  8 Ho 3.34-3.55
Ho 0.1340 0.1340 0.4995  4 Pm 3.50-3.90, 2 Y 3.54-3.55, 6 Ho 3.62-3.91
Ho 0.1822 0.6008 0.9997  1 Pm 3.12, 3 Ho 3.22-3.47, 2 Y 3.43-3.48
Ho 0.3307 0.3307 0.4990  2 Y 3.34, 4 Ho 3.46-3.47
Ho 0.3992 0.8178 0.0003  1 Pm 3.12, 3 Ho 3.22-3.47, 2 Y 3.43-3.48
Ho 0.6008 0.1822 0.9997  1 Pm 3.12, 3 Ho 3.22-3.47, 2 Y 3.43-3.48
Ho 0.6693 0.6693 0.5010  2 Y 3.34, 4 Ho 3.46-3.47
Ho 0.8178 0.3992 0.0003  1 Pm 3.12, 3 Ho 3.22-3.47, 2 Y 3.43-3.48
Ho 0.8660 0.8660 0.5005  4 Pm 3.50-3.90, 2 Y 3.54-3.55, 6 Ho 3.62-3.91

No. 2
The following is a DFT calculation (PBE-GGA) of a relaxed structure of KSiHg.

## Properties
uncorrected formation energy = 0.065 eV per atom
space-group type = P-6m2 (187)
density = 4.86 g/cm³
offset from the most stable computed form = 0.0000 eV/atom
DOS(E_F) = 0.54 states/eV per atom

Unit cell a=4.4598 b=4.4598 c=5.3120 alpha=90.00 beta=90.00 gamma=120.00
Last column: nearest neighbours and their distance in Å.
Positions (direct):
K 0.0000 0.0000 0.0000  6 Si 3.70, 6 Hg 3.70
Si 0.6667 0.3333 0.5000  3 Hg 2.57
Hg 0.3333 0.6667 0.5000  3 Si 2.57

No. 3
The following is a DFT calculation (PBE-GGA) of a relaxed structure of Ca3Pm2HoTe6.

## Properties
uncorrected formation energy = -1.484 eV per atom
space-group type = C2/m (12)
density = 5.92 g/cm³
DOS(E_F) = 0.43 states/eV per atom

Unit cell a=7.6638 b=7.6638 c=7.8248 alpha=99.43 beta=99.43 gamma=119.93
Last column: nearest neighbours and their distance in Å.
Positions (direct):
Ca 0.0000 0.0000 0.0000  6 Te 3.14-3.20
Ca 0.3304 0.6696 0.0000  6 Te 3.14-3.17
Ca 0.6696 0.3304 0.0000  6 Te 3.14-3.17
Pm 0.1655 0.8345 0.5000  6 Te 3.17-3.18
Pm 0.8345 0.1655 0.5000  6 Te 3.17-3.18
Ho 0.5000 0.5000 0.5000  6 Te 3.11
Te 0.0908 0.4174 0.2509  1 Ho 3.11, 3 Ca 3.14-3.17, 2 Pm 3.18
Te 0.2581 0.2581 0.7512  1 Ho 3.11, 3 Ca 3.15-3.20, 2 Pm 3.17
Te 0.4174 0.0908 0.2509  1 Ho 3.11, 3 Ca 3.14-3.17, 2 Pm 3.18
Te 0.5826 0.9092 0.7491  1 Ho 3.11, 3 Ca 3.14-3.17, 2 Pm 3.18
Te 0.7419 0.7419 0.2488  1 Ho 3.11, 3 Ca 3.15-3.20, 2 Pm 3.17
Te 0.9092 0.5826 0.7491  1 Ho 3.11, 3 Ca 3.14-3.17, 2 Pm 3.18

No. 4
The following is a DFT calculation (PBE-GGA) of a relaxed structure of LiTb6Tl2.

## Properties
space-group type = Immm (71)
density = 7.80 g/cm³
DOS(E_F) = 1.54 states/eV per atom
formation energy from the elements = 0.15 eV per atom

Unit cell a=8.9318 b=8.9318 c=8.9318 alpha=146.80 beta=131.07 gamma=60.41
Last column: nearest neighbours and their distance in Å.
Positions (direct):
Li 0.0000 0.0000 0.0000  8 Tb 3.11-3.13
Tb 0.0820 0.8364 0.2455  1 Li 3.11, 3 Tl 3.17-3.19
Tb 0.2443 0.5000 0.7443  2 Li 3.13, 2 Tl 3.19
Tb 0.4091 0.1636 0.2455  1 Li 3.11, 3 Tl 3.17-3.19
Tb 0.5909 0.8364 0.7545  1 Li 3.11, 3 Tl 3.17-3.19
Tb 0.7557 0.5000 0.2557  2 Li 3.13, 2 Tl 3.19
Tb 0.9180 0.1636 0.7545  1 Li 3.11, 3 Tl 3.17-3.19
Tl 0.3334 0.3334 0.0000  8 Tb 3.17-3.19
Tl 0.6666 0.6666 0.0000  8 Tb 3.17-3.19

No. 5
The following is a DFT calculation (PBE-GGA) of a relaxed structure of Mg4Pd.

## Properties
space-group type = I4_1/a (88)
density = 3.19 g/cm³
DOS(E_F) = 0.34 states/eV per atom
formation energy from the elements = -0.29 eV per atom

Unit cell a=7.6088 b=7.6088 c=7.6088 alpha=135.67 beta=135.67 gamma=64.49
Last column: nearest neighbours and their distance in Å.
Positions (direct):
Mg 0.0637 0.1975 0.3522  2 Pd 2.69-2.72
Mg 0.2115 0.5637 0.3662  2 Pd 2.69-2.72
Mg 0.3025 0.1547 0.8662  2 Pd 2.69-2.72
Mg 0.3453 0.7115 0.1478  2 Pd 2.69-2.72
Mg 0.6547 0.2885 0.8522  2 Pd 2.69-2.72
Mg 0.6975 0.8453 0.1338  2 Pd 2.69-2.72
Mg 0.7885 0.4363 0.6338  2 Pd 2.69-2.72
Mg 0.9363 0.8025 0.6478  2 Pd 2.69-2.72
Pd 0.3750 0.1250 0.2500  8 Mg 2.69-2.72
Pd 0.6250 0.8750 0.7500  8 Mg 2.69-2.72

No. 6
The following is a DFT calculation (PBE-GGA) of a relaxed structure of VCrTcW.

## Properties
space-group type = P4mm (99)
density = 11.46 g/cm³
offset from the most stable computed form = 0.0000 eV/atom
DOS(E_F) = 0.57 states/eV per atom
formation energy from the elements = -0.14 eV per atom

Unit cell a=3.0323 b=3.0323 c=6.0641 alpha=90.00 beta=90.00 gamma=90.00
Last column: nearest neighbours and their distance in Å.
Positions (direct):
V 0.0000 0.0000 0.0000  4 Cr 2.58, 4 Tc 2.62
Cr 0.5000 0.5000 0.2365  4 V 2.58, 4 W 2.61
Tc 0.5000 0.5000 0.7511  4 V 2.62, 4 W 2.69
W 0.0000 0.0000 0.4823  4 Cr 2.61, 4 Tc 2.69, 1 V 2.92

No. 7
The following is a DFT calculation (PBE-GGA) of a relaxed structure of HgN2OF.

## Properties
uncorrected formation energy = 2.131 eV per atom
space-group type = P4/mmm (123)
density = 6.27 g/cm³
DOS(E_F) = 0.42 states/eV per atom

Unit cell a=3.5757 b=3.5757 c=5.4615 alpha=90.00 beta=90.00 gamma=90.00
Last column: nearest neighbours and their distance in Å.
Positions (direct):
Hg 0.0000 0.0000 0.0000  4 O 2.53
N 0.0000 0.5000 0.5000  2 F 1.79
N 0.5000 0.0000 0.5000  2 F 1.79
O 0.5000 0.5000 0.0000  4 Hg 2.53, 2 F 2.73
F 0.5000 0.5000 0.5000  4 N 1.79

No. 8
The following is a DFT calculation (PBE-GGA) of a relaxed structure of Tl3Hg3I.

## Properties
uncorrected formation energy = 0.106 eV per atom
space-group type = Pm-3n (223)
density = 6.98 g/cm³
DOS(E_F) = 0.33 states/eV per atom

Unit cell a=8.6119 b=8.6119 c=8.6119 alpha=90.00 beta=90.00 gamma=90.00
Last column: nearest neighbours and their distance in Å.
Positions (direct):
Tl 0.0000 0.2500 0.5000  4 Hg 3.04
Tl 0.0000 0.7500 0.5000  4 Hg 3.04
Tl 0.2500 0.5000 0.0000  4 Hg 3.04
Tl 0.5000 0.0000 0.2500  4 Hg 3.04
Tl 0.5000 0.0000 0.7500  4 Hg 3.04
Tl 0.7500 0.5000 0.0000  4 Hg 3.04
Hg 0.0000 0.5000 0.2500  4 Tl 3.04
Hg 0.0000 0.5000 0.7500  4 Tl 3.04
Hg 0.2500 0.0000 0.5000  4 Tl 3.04
Hg 0.5000 0.2500 0.0000  4 Tl 3.04
Hg 0.5000 0.7500 0.0000  4 Tl 3.04
Hg 0.7500 0.0000 0.5000  4 Tl 3.04
I 0.0000 0.0000 0.0000  12 Hg 4.81, 12 Tl 4.81
I 0.5000 0.5000 0.5000  12 Hg 4.81, 12 Tl 4.81

No. 9
The following is a DFT calculation (PBE-GGA) of a relaxed structure of Dy3TeIr.

## Properties
uncorrected formation energy = -0.867 eV per atom
space-group type = C2/m (12)
density = 9.75 g/cm³
offset from the most stable computed form = 0.0865 eV/atom
DOS(E_F) = 0.89 states/eV per atom

Unit cell a=7.1892 b=7.1892 c=10.0396 alpha=99.56 beta=99.56 gamma=32.54
Last column: nearest neighbours and their distance in Å.
Positions (direct):
Dy 0.0297 0.0297 0.3566  4 Ir 2.91-3.01, 1 Te 3.06, 1 Dy 3.13
Dy 0.2447 0.2447 0.6485  2 Ir 2.80
Dy 0.3625 0.3625 0.1243  1 Ir 2.99, 3 Te 3.11-3.12
Dy 0.6375 0.6375 0.8757  1 Ir 2.99, 3 Te 3.11-3.12
Dy 0.7553 0.7553 0.3515  2 Ir 2.80
Dy 0.9703 0.9703 0.6434  4 Ir 2.91-3.01, 1 Te 3.06, 1 Dy 3.13
Te 0.1362 0.1362 0.1133  6 Dy 3.06-3.33
Te 0.8638 0.8638 0.8867  6 Dy 3.06-3.33
Ir 0.3948 0.3948 0.4269  7 Dy 2.80-3.01, 1 Ir 3.02
Ir 0.6052 0.6052 0.5731  7 Dy 2.80-3.01, 1 Ir 3.02

No. 10
The following is a DFT calculation (PBE-GGA) of a relaxed structure of Mg2Si4NiPt3.

## Properties
uncorrected formation energy = -0.594 eV per atom
space-group type = P-4m2 (115)
density = 8.39 g/cm³
DOS(E_F) = 0.60 states/eV per atom

Unit cell a=3.8601 b=3.8601 c=10.6948 alpha=90.00 beta=90.00 gamma=90.00
Last column: nearest neighbours and their distance in Å.
Positions (direct):
Mg 0.0000 0.5000 0.2375  4 Si 2.94, 6 Pt 3.02-3.19, 2 Ni 3.19
Mg 0.5000 0.0000 0.7625  4 Si 2.94, 6 Pt 3.02-3.19, 2 Ni 3.19
Si 0.0000 0.0000 0.5000  4 Pt 2.46, 4 Si 2.73
Si 0.0000 0.5000 0.8656  3 Pt 2.39-2.41, 2 Ni 2.41
Si 0.5000 0.0000 0.1344  3 Pt 2.39-2.41, 2 Ni 2.41
Si 0.5000 0.5000 0.5000  4 Pt 2.46, 4 Si 2.73
Ni 0.5000 0.5000 0.0000  4 Si 2.41
Pt 0.0000 0.0000 0.0000  4 Si 2.41
Pt 0.0000 0.5000 0.6424  5 Si 2.39-2.46
Pt 0.5000 0.0000 0.3576  5 Si 2.39-2.46

| no. | magnetic moment (μB/f.u.) |
| --- | --- |
| 1 | 0.00 |
| 2 | 0.00 |
| 3 | 0.00 |
| 4 | 0.04 |
| 5 | 0.00 |
| 6 | 0.00 |
| 7 | 3.59 |
| 8 | 0.00 |
| 9 | 0.00 |
| 10 | 0.00 |